DFT (PBE) results for an optimized crystal structure of Na2TlSn.

Output
total DFT energy (no corrections)	-2.36	eV per atom
SG	No. 123
formation energy	-0.11	eV per atom

a = 3.6379 Å, b = 3.6379 Å, c = 8.2490 Å
α = 90.00°, β = 90.00°, γ = 90.00°
Last column: nearest neighbours and their distance in Å.
Atoms (fractional coordinates):
Sn1 0.5000 0.5000 0.0000  8 Na 3.26, 4 Sn 3.64
Na1 0.0000 0.0000 0.7580  4 Sn 3.26, 4 Tl 3.34, 4 Na 3.64
Na2 0.0000 0.0000 0.2420  4 Sn 3.26, 4 Tl 3.34, 4 Na 3.64
Tl1 0.5000 0.5000 0.5000  8 Na 3.34, 4 Tl 3.64